# 1
The following is a DFT calculation (PBE) of a relaxed Ti4NbBiN crystal.

Structure (extended XYZ):
```
14
Lattice="5.865 0.000 0.000 0.000 5.852 0.000 -2.933 0.000 7.133" Properties=species:S:1:pos:R:3 pbc="T T T"
Ti 2.933 1.463 5.667
Ti 0.000 4.389 5.587
Ti 0.000 4.389 1.466
Ti 2.933 1.463 1.546
Ti 1.466 2.926 3.566
Ti -1.466 0.000 3.566
Ti 1.466 0.000 3.566
Ti -1.466 2.926 3.566
Nb 0.000 1.463 1.462
Nb 2.933 4.389 5.671
Bi 2.933 4.389 1.359
Bi 0.000 1.463 5.774
N 0.000 4.389 3.520
N 2.933 1.463 3.613
```

As for the symmetry: Cmcm, No. 63. The uncorrected formation energy is -0.350 eV/atom.

=====

# 2
The following is a DFT calculation (PBE) of a relaxed NbVBi2N crystal.

Structure (extended XYZ):
```
5
Lattice="5.503 0.000 0.000 0.000 4.597 0.000 0.000 0.000 5.503" Properties=species:S:1:pos:R:3 pbc="T T T"
Nb 0.000 0.000 0.000
N 2.752 2.298 2.752
Bi 0.000 0.000 2.752
Bi 2.752 0.000 0.000
V 0.000 2.298 0.000
```

As for the symmetry: P4/mmm, No. 123. The uncorrected formation energy is 1.792 eV/atom.

=====

# 3
The following is a DFT calculation (PBE) of a relaxed Nd12Bi6N crystal.

Structure (extended XYZ):
```
19
Lattice="8.802 -0.065 -0.078 -1.399 8.690 -0.078 -1.399 -1.630 8.537" Properties=species:S:1:pos:R:3 pbc="T T T"
Nd 5.656 4.232 3.769
Nd 2.060 6.038 4.837
Nd 3.326 2.594 6.805
Nd 0.349 2.764 4.612
Nd 3.945 0.958 3.543
Nd 2.679 4.401 1.576
Nd -1.259 8.179 2.418
Nd -2.271 4.616 7.953
Nd 4.907 8.101 -0.099
Nd 7.263 -1.183 5.963
Nd 8.275 2.380 0.428
Nd 1.098 -1.105 8.479
Bi 4.449 7.058 2.901
Bi 5.105 2.356 0.918
Bi -0.297 5.119 2.483
Bi 1.555 -0.062 5.480
Bi 0.900 4.639 7.463
Bi 6.302 1.877 5.898
N 0.000 0.000 0.000
```

As for the symmetry: R-3, No. 148. The uncorrected formation energy is -0.601 eV/atom.

=====

| no. | mass density (g/cm3) | total energy (eV for the cell shown) |
| --- | --- | --- |
| 1 | 6.9 | -112.61 |
| 2 | 6.9 | -26.32 |
| 3 | 7.7 | -100.25 |